(1)
A plane-wave DFT calculation with meta-GGA SCAN was carried out for CaYW2 at its PBEsol-relaxed geometry.

Unit cell a=3.4529 b=5.1508 c=10.0728 alpha=90.00 beta=90.00 gamma=90.00
Last column: nearest neighbours and their distance in Å.
Space group Imm2 (No. 44)
Unique sites:
1 Ca 0.0000 0.0000 0.0000 x2  8 W 3.15-3.45, 4 Y 3.32-3.39, 2 Ca 3.45
2 Y 0.0000 0.5000 0.2185 x2  8 W 3.15-3.43, 4 Ca 3.32-3.39, 2 Y 3.45
3 W 0.0000 0.0000 0.4432 x2  2 W 2.44
4 W 0.0000 0.5000 0.7718 x2  2 W 2.44

## Properties
Total energy ... -349.02 eV per cell
Volume ... 22.39 Å³/atom
E above lowest polymorph ... 0 meV per atom
Calculated density ... 9.2 g/cm3


(2)
A plane-wave DFT calculation with meta-GGA SCAN was carried out for CaY2W at its PBEsol-relaxed geometry.

Unit cell a=10.5195 b=3.1407 c=6.2992 alpha=90.00 beta=95.27 gamma=90.00
Last column: nearest neighbours and their distance in Å.
Space group Cm (No. 8)
Unique sites:
1 Ca 0.0000 0.0000 0.0000 x2  2 Ca 3.14, 3 Y 3.25-3.26, 3 W 3.36-3.39
2 Y 0.2361 0.0000 0.6988 x2  2 W 3.05, 5 Y 3.14-3.38, 1 Ca 3.26
3 Y 0.4804 0.0000 0.4476 x2  3 W 3.02-3.06, 5 Y 3.14-3.38, 2 Ca 3.25
4 W 0.2417 0.5000 0.2847 x2  5 Y 3.02-3.06, 2 W 3.14, 2 Ca 3.36

## Properties
Total energy ... -264.30 eV per cell
Volume ... 25.90 Å³/atom
E above lowest polymorph ... 77 meV per atom
Calculated density ... 6.4 g/cm3


(3)
A plane-wave DFT calculation with meta-GGA SCAN was carried out for CaY2W at its PBEsol-relaxed geometry.

Unit cell a=4.5529 b=4.6555 c=9.3592 alpha=90.00 beta=90.00 gamma=90.00
Last column: nearest neighbours and their distance in Å.
Space group Imm2 (No. 44)
Unique sites:
1 Ca 0.0000 0.0000 0.0000 x2  8 Y 3.26-3.29, 4 W 3.27-3.29
2 Y 0.0000 0.0000 0.4922 x2  4 W 3.20-3.36, 4 Ca 3.26, 4 Y 3.27-3.29
3 Y 0.0000 0.5000 0.2462 x2  4 W 3.26, 4 Y 3.27-3.29, 4 Ca 3.28-3.29
4 W 0.0000 0.5000 0.7513 x2  8 Y 3.20-3.36, 4 Ca 3.27-3.29

## Properties
Total energy ... -264.21 eV per cell
Volume ... 24.80 Å³/atom
E above lowest polymorph ... 89 meV per atom
Calculated density ... 6.7 g/cm3


(4)
A plane-wave DFT calculation with meta-GGA SCAN was carried out for CaY2W at its PBEsol-relaxed geometry.

Unit cell a=3.4106 b=3.4106 c=32.5198 alpha=90.00 beta=90.00 gamma=120.00
Last column: nearest neighbours and their distance in Å.
Space group R-3m (No. 166, hexagonal axes)
Unique sites:
1 Ca 0.0000 0.0000 0.0000 x3  6 Ca 3.41, 6 Y 3.79
2 Y 0.0000 0.0000 0.2337 x6  3 W 2.94
3 W 0.0000 0.0000 0.5000 x3  6 Y 2.94

## Properties
Total energy ... -397.38 eV per cell
Volume ... 27.30 Å³/atom
E above lowest polymorph ... 0 meV per atom
Calculated density ... 6.1 g/cm3


> The highest E above lowest polymorph belongs to which entry?

number 3


> Among the records above, which one has the lowest calculated density?

number 4


> Among the records above, which one has the lowest calculated density?

number 4